*P*
Entry from the Alexandria database: an optimized crystal structure of LiScSbI2 (PBE-GGA).

- Volume: 148 Å³ per cell
- Theoretical density: 4.8 g cm⁻³
- Symmetry: P4/mmm

Cell: 5.1500 5.1500 5.5777 Å, 90.00 90.00 90.00°
Element x y z (fractional)
Li 0.0000 0.0000 0.0000
Sc 0.5000 0.5000 0.5000
Sb 0.0000 0.0000 0.5000
I 0.0000 0.5000 0.0000
I 0.5000 0.0000 0.0000

=====

*Q*
Entry from the Alexandria database: an optimized crystal structure of LiScSbI2 (PBE-GGA).

- Volume: 188 Å³ per cell
- Theoretical density: 3.8 g cm⁻³
- Symmetry: P4/mmm

Cell: 5.7694 5.7694 5.6608 Å, 90.00 90.00 90.00°
Element x y z (fractional)
Li 0.0000 0.0000 0.0000
Sc 0.5000 0.5000 0.5000
Sb 0.5000 0.5000 0.0000
I 0.0000 0.5000 0.5000
I 0.5000 0.0000 0.5000

=====

Which of them is the most stable, and which is the least stable? *Q* and *P*, in that order.

=====

*P*
Entry from the Alexandria database: an optimized crystal structure of LiSiSbI2 (PBE-GGA).

- Volume: 177 Å³ per cell
- Theoretical density: 3.8 g cm⁻³
- Symmetry: P4/mmm

Cell: 5.7256 5.7256 5.4139 Å, 90.00 90.00 90.00°
Element x y z (fractional)
Li 0.0000 0.0000 0.0000
Si 0.5000 0.5000 0.5000
Sb 0.5000 0.5000 0.0000
I 0.0000 0.5000 0.5000
I 0.5000 0.0000 0.5000

=====

*Q*
Entry from the Alexandria database: an optimized crystal structure of LiSiSbI2 (PBE-GGA).

- Volume: 145 Å³ per cell
- Theoretical density: 4.7 g cm⁻³
- Symmetry: P4/mmm

Cell: 5.2581 5.2581 5.2415 Å, 90.00 90.00 90.00°
Element x y z (fractional)
Li 0.0000 0.0000 0.0000
Si 0.5000 0.5000 0.5000
Sb 0.0000 0.0000 0.5000
I 0.0000 0.5000 0.0000
I 0.5000 0.0000 0.0000

=====

Which of them is the most stable, and which is the least stable? *P* and *Q*, in that order.